(1)
{
  "formula": "BHF",
  "functional": "PBE-GGA",
  "state": "optimized geometry",
  "space_group": "P-1",
  "lattice": [[3.0969, 0.0000, 0.0000], [-0.2391, 4.4660, 0.0000], [-0.5358, -0.7944, 4.5007]],
  "species": ["B", "B", "H", "H", "F", "F"],
  "fractional_positions": [[0.2470, 0.4375, 0.0598], [0.7530, 0.5625, 0.9402], [0.4571, 0.3278, 0.8295], [0.5429, 0.6722, 0.1705], [0.2777, 0.2353, 0.2547], [0.7223, 0.7647, 0.7453]]
}

(2)
{
  "formula": "Re5Os2",
  "functional": "PBE-GGA",
  "state": "optimized geometry",
  "delta_e_f_ev_per_atom": 0.15,
  "space_group": "Cmmm",
  "lattice": [[2.0772, -9.1984, 0.0000], [2.0772, 9.1984, 0.0000], [0.0000, 0.0000, 2.7418]],
  "species": ["Re", "Re", "Re", "Re", "Re", "Os", "Os"],
  "fractional_positions": [[0.0000, 0.0000, 0.0000], [0.2872, 0.7128, 0.5000], [0.4274, 0.5726, 0.5000], [0.5726, 0.4274, 0.5000], [0.7128, 0.2872, 0.5000], [0.1513, 0.8487, 0.0000], [0.8487, 0.1513, 0.0000]]
}

Sequential total magnetization output: 0.0000; 0.0000 μB/atom
Sequential total energy output: -30.65; -83.67 eV/cell
Sequential energy relative to the lowest polymorph listed for this composition output: 0; 67 meV per atom